Crystalline CuPCl2 at its relaxed geometry. Source: Alexandria via LeMat-Bulk, functional PBE.

abc: 4.625 4.625 4.625
angles: 60.00 60.00 60.00
Fractional positions:
Cu: 0.000 0.000 0.000
P: 0.250 0.250 0.250
Cl: 0.500 0.500 0.500
Cl: 0.750 0.750 0.750

Formation energy from raw total energies   0.74 eV/atom
Uncorrected energy   -2.562 eV/atom

Crystalline Te2PN at its relaxed geometry. Source: Alexandria via LeMat-Bulk, functional PBE.

abc: 9.074 9.074 9.074
angles: 20.38 20.38 20.38
Fractional positions:
Te: 0.104 0.104 0.104
Te: 0.896 0.896 0.896
P: 0.000 0.000 0.000
N: 0.500 0.500 0.500

Formation energy from raw total energies   1.16 eV/atom
Uncorrected energy   -3.845 eV/atom